VASP calculation (PBE-GGA) on crystalline Ce2PuFe2 at its relaxed geometry.

Values from the calculation:
crystal system: monoclinic
formation enthalpy at 0 K: -0.039 eV/atom
magnetization: 3.692 μB/f.u.
energy: -8.664 eV/atom

a b c (Å): 5.4560 5.4560 7.4391
angles (deg): 95.65 95.65 63.68
Closest atoms and distances in Å follow each position.
Fractional positions:
Ce: 0.0227 0.2682 0.1531  6 Fe 2.88-3.10, 1 Pu 3.11, 1 Ce 3.20
Ce: 0.2682 0.0227 0.6531  6 Fe 2.88-3.10, 1 Pu 3.11, 1 Ce 3.20
Ce: 0.7318 0.9773 0.3469  6 Fe 2.88-3.10, 1 Pu 3.11, 1 Ce 3.20
Ce: 0.9773 0.7318 0.8469  6 Fe 2.88-3.10, 1 Pu 3.11, 1 Ce 3.20
Pu: 0.3402 0.6598 0.2500  2 Fe 2.32
Pu: 0.6598 0.3402 0.7500  2 Fe 2.32
Fe: 0.2447 0.4948 0.4965  1 Pu 2.32
Fe: 0.4948 0.2447 0.9965  1 Pu 2.32
Fe: 0.5052 0.7553 0.0035  1 Pu 2.32
Fe: 0.7553 0.5052 0.5035  1 Pu 2.32

***

VASP calculation (PBE-GGA) on crystalline Tb2PrSm at its relaxed geometry.

Values from the calculation:
crystal system: tetragonal
formation enthalpy at 0 K: 0.018 eV/atom
magnetization: 0.000 μB/f.u.
energy: -4.672 eV/atom
offset from the most stable computed form: 0.09 eV per formula unit

a b c (Å): 3.6188 3.6188 10.2173
angles (deg): 90.00 90.00 90.00
Closest atoms and distances in Å follow each position.
Fractional positions:
Tb: 0.0000 0.0000 0.2469  4 Sm 3.59, 4 Tb 3.62, 4 Pr 3.64
Tb: 0.0000 0.0000 0.7531  4 Sm 3.59, 4 Tb 3.62, 4 Pr 3.64
Pr: 0.5000 0.5000 0.5000  4 Pr 3.62, 8 Tb 3.64
Sm: 0.5000 0.5000 0.0000  8 Tb 3.59, 4 Sm 3.62

***

VASP calculation (PBE-GGA) on crystalline NpTlIO6 at its relaxed geometry.

Values from the calculation:
crystal system: triclinic
E_form (uncorrected): -1.453 eV per atom
magnetization: 1.000 μB/f.u.
energy: -6.631 eV/atom

a b c (Å): 5.8884 5.9420 5.9497
angles (deg): 88.21 89.33 60.96
Closest atoms and distances in Å follow each position.
Fractional positions:
Np: 0.0000 0.0000 0.0000  3 O 1.87-2.00
Tl: 0.6913 0.6895 0.4848  4 O 2.67-2.98
I: 0.3115 0.3380 0.9868  3 O 1.87-1.91
O: 0.0585 0.3271 0.1748  1 I 1.88
O: 0.0813 0.6320 0.8067  1 I 1.91
O: 0.2549 0.7540 0.1911  1 Np 1.87
O: 0.3152 0.0802 0.8115  1 I 1.87
O: 0.7021 0.0270 0.1843  1 Np 2.00
O: 0.7486 0.2370 0.7996  1 Np 1.87

***

VASP calculation (PBE-GGA) on crystalline TaTi2Pt at its relaxed geometry.

Values from the calculation:
crystal system: tetragonal
formation enthalpy at 0 K: -0.529 eV/atom
magnetization: 0.000 μB/f.u.
energy: -8.950 eV/atom
offset from the most stable computed form: 0.00 eV per formula unit

a b c (Å): 3.1986 3.1986 6.4564
angles (deg): 90.00 90.00 90.00
Closest atoms and distances in Å follow each position.
Fractional positions:
Ta: 0.0000 0.0000 0.0000  8 Ti 2.79
Ti: 0.5000 0.5000 0.2542  4 Pt 2.76, 4 Ta 2.79
Ti: 0.5000 0.5000 0.7458  4 Pt 2.76, 4 Ta 2.79
Pt: 0.0000 0.0000 0.5000  8 Ti 2.76

***

VASP calculation (PBE-GGA) on crystalline Dy2HoZr at its relaxed geometry.

Values from the calculation:
crystal system: tetragonal
formation enthalpy at 0 K: 0.169 eV/atom
magnetization: 0.000 μB/f.u.
energy: -5.414 eV/atom
offset from the most stable computed form: 0.38 eV per formula unit

a b c (Å): 4.0133 4.0133 7.1817
angles (deg): 90.00 90.00 90.00
Closest atoms and distances in Å follow each position.
Fractional positions:
Dy: 0.0000 0.0000 0.2267  1 Dy 3.26, 4 Zr 3.27, 4 Ho 3.45
Dy: 0.0000 0.0000 0.7733  1 Dy 3.26, 4 Zr 3.27, 4 Ho 3.45
Ho: 0.5000 0.5000 0.5000  8 Dy 3.45, 2 Zr 3.59
Zr: 0.5000 0.5000 0.0000  8 Dy 3.27, 2 Ho 3.59

***

VASP calculation (PBE-GGA) on crystalline Cr14ReMo at its relaxed geometry.

Values from the calculation:
crystal system: orthorhombic
formation enthalpy at 0 K: 0.008 eV/atom
magnetization: 0.161 μB/f.u.
energy: -9.868 eV/atom

a b c (Å): 5.0439 5.0439 8.2233
angles (deg): 90.00 90.00 109.32
Closest atoms and distances in Å follow each position.
Fractional positions:
Cr: 0.0000 0.0000 0.0000  8 Cr 2.47-2.52
Cr: 0.0000 0.5000 0.0000  8 Cr 2.49-2.52
Cr: 0.0000 0.5000 0.5000  2 Mo 2.52, 2 Re 2.52, 4 Cr 2.55
Cr: 0.2490 0.7510 0.2449  8 Cr 2.49-2.55
Cr: 0.2490 0.7510 0.7551  8 Cr 2.49-2.55
Cr: 0.2499 0.2499 0.2428  6 Cr 2.47-2.53, 1 Re 2.57, 1 Mo 2.57
Cr: 0.2499 0.2499 0.7572  6 Cr 2.47-2.53, 1 Re 2.57, 1 Mo 2.57
Cr: 0.5000 0.0000 0.0000  8 Cr 2.49-2.52
Cr: 0.5000 0.0000 0.5000  2 Mo 2.52, 2 Re 2.52, 4 Cr 2.55
Cr: 0.5000 0.5000 0.0000  8 Cr 2.47-2.52
Cr: 0.7501 0.7501 0.2428  6 Cr 2.47-2.53, 1 Re 2.57, 1 Mo 2.57
Cr: 0.7501 0.7501 0.7572  6 Cr 2.47-2.53, 1 Re 2.57, 1 Mo 2.57
Cr: 0.7510 0.2490 0.2449  8 Cr 2.49-2.55
Cr: 0.7510 0.2490 0.7551  8 Cr 2.49-2.55
Re: 0.0000 0.0000 0.5000  8 Cr 2.52-2.57
Mo: 0.5000 0.5000 0.5000  8 Cr 2.52-2.57

***

VASP calculation (PBE-GGA) on crystalline MnHIr2 at its relaxed geometry.

Values from the calculation:
crystal system: cubic
magnetization: 2.069 μB/f.u.
energy: -7.209 eV/atom
offset from the most stable computed form: 0.76 eV per formula unit

a b c (Å): 4.0485 4.0485 4.0485
angles (deg): 60.00 60.00 60.00
Closest atoms and distances in Å follow each position.
Fractional positions:
Mn: 0.0000 0.0000 0.0000  8 Ir 2.48
H: 0.5000 0.5000 0.5000  8 Ir 2.48
Ir: 0.2500 0.2500 0.2500  4 Mn 2.48, 4 H 2.48
Ir: 0.7500 0.7500 0.7500  4 Mn 2.48, 4 H 2.48

***

VASP calculation (PBE-GGA) on crystalline Er4S3N at its relaxed geometry.

Values from the calculation:
crystal system: cubic
E_form (uncorrected): -1.751 eV per atom
magnetization: 0.000 μB/f.u.
energy: -6.620 eV/atom
offset from the most stable computed form: 1.04 eV per formula unit

a b c (Å): 5.3308 5.3308 5.3308
angles (deg): 90.00 90.00 90.00
Closest atoms and distances in Å follow each position.
Fractional positions:
Er: 0.0000 0.0000 0.0000  6 S 2.67
Er: 0.0000 0.5000 0.5000  2 N 2.67, 4 S 2.67
Er: 0.5000 0.0000 0.5000  2 N 2.67, 4 S 2.67
Er: 0.5000 0.5000 0.0000  2 N 2.67, 4 S 2.67
S: 0.0000 0.0000 0.5000  6 Er 2.67
S: 0.0000 0.5000 0.0000  6 Er 2.67
S: 0.5000 0.0000 0.0000  6 Er 2.67
N: 0.5000 0.5000 0.5000  6 Er 2.67

***

VASP calculation (PBE-GGA) on crystalline PmGe2PdAu at its relaxed geometry.

Values from the calculation:
crystal system: tetragonal
formation enthalpy at 0 K: -0.684 eV/atom
magnetization: 0.000 μB/f.u.
energy: -5.176 eV/atom

a b c (Å): 6.0748 6.0748 6.0748
angles (deg): 138.05 138.05 60.83
Closest atoms and distances in Å follow each position.
Fractional positions:
Pm: 0.0000 0.0000 0.0000  8 Ge 3.31, 4 Pd 3.40, 4 Au 3.40
Ge: 0.3828 0.3828 0.0000  1 Ge 2.46, 2 Pd 2.58, 2 Au 2.58
Ge: 0.6172 0.6172 0.0000  1 Ge 2.46, 2 Pd 2.58, 2 Au 2.58
Pd: 0.7500 0.2500 0.5000  4 Ge 2.58
Au: 0.2500 0.7500 0.5000  4 Ge 2.58

***

VASP calculation (PBE-GGA) on crystalline Na5BiSb4 at its relaxed geometry.

Values from the calculation:
crystal system: tetragonal
E_form (uncorrected): -0.307 eV per atom
magnetization: 0.000 μB/f.u.
energy: -3.003 eV/atom

a b c (Å): 3.3328 3.3328 24.1947
angles (deg): 90.00 90.00 90.00
Closest atoms and distances in Å follow each position.
Fractional positions:
Na: 0.0000 0.0000 0.0000  4 Na 3.33, 8 Sb 3.36
Na: 0.0000 0.0000 0.1983  4 Na 3.33, 8 Sb 3.36
Na: 0.0000 0.0000 0.3944  4 Sb 3.33, 4 Na 3.33, 4 Bi 3.48
Na: 0.0000 0.0000 0.6056  4 Sb 3.33, 4 Na 3.33, 4 Bi 3.48
Na: 0.0000 0.0000 0.8017  4 Na 3.33, 8 Sb 3.36
Bi: 0.5000 0.5000 0.5000  4 Bi 3.33, 8 Na 3.48
Sb: 0.5000 0.5000 0.0991  4 Sb 3.33, 8 Na 3.36
Sb: 0.5000 0.5000 0.2973  8 Na 3.33-3.36, 4 Sb 3.33
Sb: 0.5000 0.5000 0.7027  8 Na 3.33-3.36, 4 Sb 3.33
Sb: 0.5000 0.5000 0.9009  4 Sb 3.33, 8 Na 3.36

***

VASP calculation (PBE-GGA) on crystalline PSeN2Cl at its relaxed geometry.

Values from the calculation:
crystal system: tetragonal
E_form (uncorrected): 0.942 eV per atom
magnetization: 0.489 μB/f.u.
energy: -4.536 eV/atom
offset from the most stable computed form: 0.00 eV per formula unit

a b c (Å): 3.4595 3.4595 5.9295
angles (deg): 90.00 90.00 90.00
Closest atoms and distances in Å follow each position.
Fractional positions:
P: 0.0000 0.0000 0.0000  4 N 1.73
Se: 0.0000 0.0000 0.5000  4 Cl 2.45
N: 0.0000 0.5000 0.0000  2 P 1.73
N: 0.5000 0.0000 0.0000  2 P 1.73
Cl: 0.5000 0.5000 0.5000  4 Se 2.45

***

VASP calculation (PBE-GGA) on crystalline Ti2CuCl at its relaxed geometry.

Values from the calculation:
crystal system: tetragonal
E_form (uncorrected): 0.285 eV per atom
magnetization: 0.000 μB/f.u.
energy: -5.148 eV/atom
offset from the most stable computed form: 0.86 eV per formula unit

a b c (Å): 6.8052 6.8052 6.8052
angles (deg): 133.27 133.27 68.23
Closest atoms and distances in Å follow each position.
Fractional positions:
Ti: 0.1212 0.6250 0.9962  2 Cu 2.36, 2 Cl 2.38
Ti: 0.3750 0.3712 0.4962  2 Cu 2.36, 2 Cl 2.38
Ti: 0.6288 0.1250 0.0038  2 Cu 2.36, 2 Cl 2.38
Ti: 0.8750 0.8788 0.5038  2 Cu 2.36, 2 Cl 2.38
Cu: 0.0000 0.0000 0.0000  4 Ti 2.36
Cu: 0.7500 0.2500 0.5000  4 Ti 2.36
Cl: 0.2500 0.7500 0.5000  4 Ti 2.38
Cl: 0.5000 0.5000 0.0000  4 Ti 2.38